This record from the Alexandria database describes Tb12Ho5Al2 after structural relaxation. The functional is PBE.

Cell: 9.248 8.851 8.290 Å, 92.58 90.00 121.49°
Sites, in units of the cell vectors:
Ho: 0.689 0.378 0.015
Tb: 0.043 0.713 0.771
Tb: 0.554 0.108 0.322
Tb: 0.570 0.749 0.328
Tb: 0.179 0.749 0.328
Tb: 0.079 0.158 0.880
Ho: 0.768 0.536 0.425
Al: 0.669 0.000 0.000
Tb: 0.670 0.713 0.771
Tb: 0.921 0.842 0.120
Tb: 0.821 0.251 0.672
Ho: 0.232 0.464 0.575
Tb: 0.446 0.892 0.678
Ho: 0.311 0.622 0.985
Tb: 0.330 0.287 0.229
Ho: 0.000 0.000 0.500
Al: 0.331 0.000 0.000
Tb: 0.957 0.287 0.229
Tb: 0.430 0.251 0.672

magnetic moment = 0.0 μB per cell
DFT formation energy = 0.020 eV per atom
D(E_F) = 27.5 states/eV per cell



This record from the Alexandria database describes TbHo2Al6 after structural relaxation. The functional is PBE.

Cell: 4.374 7.940 7.940 Å, 53.06 74.01 74.01°
Sites, in units of the cell vectors:
Al: 0.814 0.491 0.880
Al: 0.186 0.120 0.509
Ho: 0.377 0.123 0.123
Tb: 0.500 0.500 0.500
Al: 0.186 0.509 0.120
Al: 0.814 0.880 0.491
Ho: 0.623 0.877 0.877
Al: 0.000 0.812 0.188
Al: 0.000 0.188 0.812

magnetic moment = 0.0 μB per cell
DFT formation energy = -0.245 eV per atom
D(E_F) = 5.1 states/eV per cell
energy above the most stable polymorph in this dataset = 2.27 eV/f.u.



This record from the Alexandria database describes Tb2HoAl9 after structural relaxation. The functional is PBE.

Cell: 5.575 5.575 9.331 Å, 72.62 72.62 60.00°
Sites, in units of the cell vectors:
Al: 0.076 0.587 0.750
Tb: 0.858 0.858 0.426
Tb: 0.142 0.142 0.574
Al: 0.924 0.413 0.250
Al: 0.335 0.335 0.994
Ho: 0.000 0.000 0.000
Al: 0.587 0.076 0.750
Al: 0.587 0.587 0.750
Al: 0.665 0.665 0.006
Al: 0.413 0.924 0.250
Al: 0.413 0.413 0.250
Al: 0.500 0.500 0.500

magnetic moment = 0.0 μB per cell
DFT formation energy = -0.360 eV per atom
D(E_F) = 5.5 states/eV per cell
energy above the most stable polymorph in this dataset = 0.73 eV/f.u.



This record from the Alexandria database describes Tb15Ho4Al after structural relaxation. The functional is PBE.

Cell: 4.957 4.957 25.063 Å, 90.00 90.00 90.00°
Sites, in units of the cell vectors:
Tb: 0.500 0.500 0.000
Tb: 0.000 0.500 0.703
Tb: 0.500 0.500 0.602
Tb: 0.500 0.500 0.194
Ho: 0.000 0.000 0.196
Tb: 0.500 0.500 0.806
Tb: 0.000 0.500 0.297
Ho: 0.000 0.000 0.399
Tb: 0.500 0.000 0.094
Tb: 0.500 0.000 0.500
Tb: 0.000 0.500 0.500
Tb: 0.500 0.500 0.398
Ho: 0.000 0.000 0.804
Tb: 0.000 0.500 0.094
Tb: 0.500 0.000 0.906
Tb: 0.000 0.500 0.906
Tb: 0.500 0.000 0.703
Tb: 0.500 0.000 0.297
Ho: 0.000 0.000 0.601
Al: 0.000 0.000 0.000

magnetic moment = 0.0 μB per cell
DFT formation energy = -0.014 eV per atom
D(E_F) = 24.5 states/eV per cell



- Which formula does entry 2 have?
  TbHo2Al6



- Among the records above, which one has the highest DFT formation energy?
  Tb12Ho5Al2